{"formula": "SrTaN2O", "functional": "GGA-PBE", "state": "relaxed", "lattice_angstrom": [[-1.551, 3.140, 6.146], [1.163, 4.945, -4.923], [-5.407, -4.102, -1.995]], "species": ["Sr", "O", "O", "Sr", "Ta", "N", "Sr", "Ta", "N", "Sr", "N", "O", "O", "N", "N", "N", "N", "N", "Ta", "Ta"], "frac_coords": [[0.762, 0.762, 0.000], [0.242, 0.000, 0.242], [0.758, 0.000, 0.758], [0.250, 0.750, 0.500], [0.746, 0.254, 0.000], [0.000, 0.500, 0.000], [0.750, 0.250, 0.500], [0.746, 0.746, 0.493], [0.500, 0.245, 0.745], [0.238, 0.238, 0.000], [0.755, 0.500, 0.255], [0.000, 0.758, 0.758], [0.000, 0.242, 0.242], [0.500, 0.755, 0.255], [0.500, 0.000, 0.000], [0.000, 0.000, 0.500], [0.500, 0.500, 0.500], [0.245, 0.500, 0.745], [0.254, 0.254, 0.507], [0.254, 0.746, 0.000]], "total_magnetization_mub_per_fu": 0.31}


{"formula": "TlTePbAuS2", "functional": "GGA-PBE", "state": "relaxed", "lattice_angstrom": [[-5.252, 5.501, 2.112], [3.323, -4.534, -5.541], [-7.846, -8.289, 2.078]], "species": ["Tl", "S", "S", "Te", "Pb", "Pb", "Tl", "S", "Te", "Au", "Au", "S"], "frac_coords": [[0.732, 0.268, 0.250], [0.624, 0.376, 0.951], [0.376, 0.624, 0.451], [0.066, 0.934, 0.250], [0.000, 0.000, 0.000], [0.000, 0.000, 0.500], [0.268, 0.732, 0.750], [0.624, 0.376, 0.549], [0.934, 0.066, 0.750], [0.619, 0.381, 0.750], [0.381, 0.619, 0.250], [0.376, 0.624, 0.049]]}


Number 1: calculated total energy -0.626 Ry per atom. Number 2: calculated total energy -0.263 Ry per atom.